This record from the Open Quantum Materials Database describes crystalline Gd2H15C19NO12 at its relaxed geometry. The functional is GGA-PBE.

a b c (Å): 8.7023 9.9995 11.6250
angles (deg): 84.48 80.93 72.36
Space group P-1 (No. 2)
Symmetry-distinct sites (fractional):
Gd1 0.0679 0.1773 0.4282 (multiplicity 2)
Gd2 0.2771 0.3670 0.6014 (multiplicity 2)
H1 0.0222 0.2913 0.9478 (multiplicity 2)
H2 0.0535 0.2678 0.0993 (multiplicity 2)
H3 0.0927 0.1188 0.0161 (multiplicity 2)
H4 0.1730 0.8785 0.8774 (multiplicity 2)
H5 0.2603 0.8334 0.4838 (multiplicity 2)
H6 0.2611 0.8870 0.1086 (multiplicity 2)
H7 0.2778 0.6670 0.4792 (multiplicity 2)
H8 0.2816 0.4508 0.1072 (multiplicity 2)
H9 0.2899 0.6357 0.8060 (multiplicity 2)
H10 0.2983 0.0646 0.7879 (multiplicity 2)
H11 0.3514 0.2159 0.1378 (multiplicity 2)
H12 0.3740 0.6539 0.0149 (multiplicity 2)
H13 0.3870 0.0539 0.0737 (multiplicity 2)
H14 0.4341 0.2918 0.8569 (multiplicity 2)
H15 0.4962 0.8306 0.9866 (multiplicity 2)
C1 0.0565 0.6982 0.2994 (multiplicity 2)
C2 0.0574 0.9527 0.2985 (multiplicity 2)
C3 0.0725 0.4389 0.2925 (multiplicity 2)
C4 0.0969 0.2279 0.0120 (multiplicity 2)
C5 0.1124 0.8129 0.2476 (multiplicity 2)
C6 0.1207 0.5661 0.2461 (multiplicity 2)
C7 0.2248 0.7950 0.1459 (multiplicity 2)
C8 0.2352 0.5529 0.1457 (multiplicity 2)
C9 0.2808 0.8531 0.8124 (multiplicity 2)
C10 0.2873 0.6661 0.0946 (multiplicity 2)
C11 0.3053 0.2938 0.8763 (multiplicity 2)
C12 0.3461 0.7182 0.7731 (multiplicity 2)
C13 0.3512 0.9563 0.7630 (multiplicity 2)
C14 0.3838 0.1642 0.0549 (multiplicity 2)
C15 0.4394 0.2132 0.3595 (multiplicity 2)
C16 0.4441 0.9574 0.3687 (multiplicity 2)
C17 0.4725 0.4589 0.3580 (multiplicity 2)
C18 0.4818 0.6836 0.6868 (multiplicity 2)
C19 0.4907 0.9255 0.6803 (multiplicity 2)
N1 0.2637 0.2318 0.9776 (multiplicity 2)
O1 0.0271 0.0282 0.5994 (multiplicity 2)
O2 0.0432 0.5573 0.6204 (multiplicity 2)
O3 0.0550 0.2850 0.6074 (multiplicity 2)
O4 0.0999 0.0553 0.2448 (multiplicity 2)
O5 0.1464 0.3214 0.2500 (multiplicity 2)
O6 0.2061 0.3511 0.8055 (multiplicity 2)
O7 0.2148 0.7552 0.5186 (multiplicity 2)
O8 0.3019 0.9801 0.4269 (multiplicity 2)
O9 0.3087 0.2425 0.4394 (multiplicity 2)
O10 0.3565 0.4968 0.4430 (multiplicity 2)
O11 0.4454 0.4594 0.6864 (multiplicity 2)
O12 0.4664 0.1675 0.6487 (multiplicity 2)

Results
**Total energy**: -6.949 eV/atom
**Total magnetic moment**: 0.02 μB/cell
**Crystal system**: triclinic